Computed, not measured: a crystal of LiBeH3 relaxed with PBEsol at the SCAN level of DFT.

Lattice parameters (Å, degrees): 5.8022 5.8022 8.2624 90.00 90.00 59.87
With the nearest neighbours (Å) after each atom.
Element x y z (fractional)
Li1 0.0000 0.0000 0.0000  8 H 1.96-2.17
Li2 0.0000 0.0000 0.5000  8 H 1.96-2.17
Li3 0.3288 0.3288 0.0000  6 H 1.94-2.16
Li4 0.3288 0.3288 0.5000  6 H 1.94-2.16
Li5 0.6712 0.6712 0.0000  6 H 1.94-2.16
Li6 0.6712 0.6712 0.5000  6 H 1.94-2.16
Be1 0.0907 0.6651 0.2500  4 H 1.41-1.43
Be2 0.3349 0.9093 0.2500  4 H 1.41-1.43
Be3 0.4212 0.5788 0.7500  4 H 1.42-1.43
Be4 0.5788 0.4212 0.2500  4 H 1.42-1.43
Be5 0.6651 0.0907 0.7500  4 H 1.41-1.43
Be6 0.9093 0.3349 0.7500  4 H 1.41-1.43
H1 0.0233 0.3341 0.5994  1 Be 1.41
H2 0.0233 0.3341 0.9006  1 Be 1.41
H3 0.0862 0.9138 0.2500  2 Be 1.43
H4 0.3090 0.6910 0.5972  1 Be 1.42
H5 0.3090 0.6910 0.9028  1 Be 1.42
H6 0.3341 0.0233 0.0994  1 Be 1.41
H7 0.3341 0.0233 0.4006  1 Be 1.41
H8 0.3349 0.4163 0.2500  2 Be 1.43
H9 0.4163 0.3349 0.7500  2 Be 1.43
H10 0.5837 0.6651 0.2500  2 Be 1.43
H11 0.6651 0.5837 0.7500  2 Be 1.43
H12 0.6659 0.9767 0.5994  1 Be 1.41
H13 0.6659 0.9767 0.9006  1 Be 1.41
H14 0.6910 0.3090 0.0972  1 Be 1.42
H15 0.6910 0.3090 0.4028  1 Be 1.42
H16 0.9138 0.0862 0.7500  2 Be 1.43
H17 0.9767 0.6659 0.0994  1 Be 1.41
H18 0.9767 0.6659 0.4006  1 Be 1.41

## Properties
As for the density of states at the Fermi level: 0.000 states/eV per atom. Its space group is Cmcm (63). The total energy is -3.71 eV per atom. For the offset from the most stable computed form, the calculation gives 8 meV per atom. The calculation puts the density at 0.8 g cm⁻³.



Computed, not measured: a crystal of LiBeH3 relaxed with PBEsol at the SCAN level of DFT.

Lattice parameters (Å, degrees): 4.6627 5.9337 6.4728 96.73 101.19 105.43
With the nearest neighbours (Å) after each atom.
Element x y z (fractional)
Li1 0.0653 0.2950 0.1614  4 H 1.84-1.90
Li2 0.2907 0.3300 0.6967  4 H 1.84-1.99
Li3 0.7093 0.6700 0.3033  4 H 1.84-1.99
Li4 0.9347 0.7050 0.8386  4 H 1.84-1.90
Be1 0.2468 0.8113 0.2449  4 H 1.42-1.45
Be2 0.4094 0.7921 0.6256  4 H 1.41-1.45
Be3 0.5906 0.2079 0.3744  4 H 1.41-1.45
Be4 0.7532 0.1887 0.7551  4 H 1.42-1.45
H1 0.0303 0.1630 0.8740  1 Be 1.43
H2 0.1715 0.8049 0.4500  2 Be 1.44-1.45
H3 0.2467 0.6303 0.7377  1 Be 1.42
H4 0.3031 0.6011 0.1552  1 Be 1.42
H5 0.3295 0.2660 0.4144  1 Be 1.41
H6 0.4745 0.0169 0.7682  2 Be 1.45
H7 0.5255 0.9831 0.2318  2 Be 1.45
H8 0.6705 0.7340 0.5856  1 Be 1.41
H9 0.6969 0.3989 0.8448  1 Be 1.42
H10 0.7533 0.3697 0.2623  1 Be 1.42
H11 0.8285 0.1951 0.5500  2 Be 1.44-1.45
H12 0.9697 0.8370 0.1260  1 Be 1.43

## Properties
As for the density of states at the Fermi level: 0.000 states/eV per atom. Its space group is P-1 (2). The total energy is -3.71 eV per atom. For the offset from the most stable computed form, the calculation gives 9 meV per atom. The calculation puts the density at 0.8 g cm⁻³.



Computed, not measured: a crystal of LiBeH3 relaxed with PBEsol at the SCAN level of DFT.

Lattice parameters (Å, degrees): 5.9806 6.0953 13.0760 90.00 97.69 90.00
With the nearest neighbours (Å) after each atom.
Element x y z (fractional)
Li1 0.0122 0.1153 0.2526  5 H 1.89-2.02
Li2 0.0122 0.3847 0.7526  5 H 1.89-2.02
Li3 0.2350 0.6170 0.5925  5 H 1.84-2.00
Li4 0.2350 0.8830 0.0925  5 H 1.84-2.00
Li5 0.2528 0.1268 0.6018  5 H 1.86-1.99
Li6 0.2528 0.3732 0.1018  5 H 1.86-1.99
Li7 0.7472 0.6268 0.8982  5 H 1.86-1.99
Li8 0.7472 0.8732 0.3982  5 H 1.86-1.99
Li9 0.7650 0.1170 0.9075  5 H 1.84-2.00
Li10 0.7650 0.3830 0.4075  5 H 1.84-2.00
Li11 0.9878 0.6153 0.2474  5 H 1.89-2.02
Li12 0.9878 0.8847 0.7474  5 H 1.89-2.02
Be1 0.2265 0.1703 0.9082  4 H 1.40-1.44
Be2 0.2265 0.3297 0.4082  4 H 1.40-1.44
Be3 0.2289 0.5968 0.9130  4 H 1.41-1.44
Be4 0.2289 0.9032 0.4130  4 H 1.41-1.44
Be5 0.4332 0.6143 0.3136  4 H 1.43-1.45
Be6 0.4332 0.8857 0.8136  4 H 1.43-1.45
Be7 0.5668 0.1143 0.1864  4 H 1.43-1.45
Be8 0.5668 0.3857 0.6864  4 H 1.43-1.45
Be9 0.7711 0.0968 0.5870  4 H 1.41-1.44
Be10 0.7711 0.4032 0.0870  4 H 1.41-1.44
Be11 0.7735 0.6703 0.5918  4 H 1.40-1.44
Be12 0.7735 0.8297 0.0918  4 H 1.40-1.44
H1 0.0263 0.6476 0.8472  1 Be 1.42
H2 0.0263 0.8524 0.3472  1 Be 1.42
H3 0.0267 0.1243 0.8397  1 Be 1.42
H4 0.0267 0.3757 0.3397  1 Be 1.42
H5 0.1945 0.1339 0.0109  1 Be 1.40
H6 0.1945 0.3661 0.5109  1 Be 1.40
H7 0.2220 0.6240 0.0196  1 Be 1.41
H8 0.2220 0.8760 0.5196  1 Be 1.41
H9 0.2899 0.6149 0.2171  1 Be 1.43
H10 0.2899 0.8851 0.7171  1 Be 1.43
H11 0.3007 0.1154 0.3828  2 Be 1.43
H12 0.3007 0.3846 0.8828  2 Be 1.43
H13 0.3291 0.1173 0.1948  1 Be 1.44
H14 0.3291 0.3827 0.6948  1 Be 1.44
H15 0.4268 0.6998 0.8826  2 Be 1.44-1.45
H16 0.4268 0.8002 0.3826  2 Be 1.44-1.45
H17 0.4308 0.0696 0.8836  2 Be 1.44-1.45
H18 0.4308 0.4304 0.3836  2 Be 1.44-1.45
H19 0.5692 0.5696 0.6164  2 Be 1.44-1.45
H20 0.5692 0.9304 0.1164  2 Be 1.44-1.45
H21 0.5732 0.1998 0.6174  2 Be 1.44-1.45
H22 0.5732 0.3002 0.1174  2 Be 1.44-1.45
H23 0.6709 0.6173 0.3052  1 Be 1.44
H24 0.6709 0.8827 0.8052  1 Be 1.44
H25 0.6993 0.6154 0.1172  2 Be 1.43
H26 0.6993 0.8846 0.6172  2 Be 1.43
H27 0.7101 0.1149 0.2829  1 Be 1.43
H28 0.7101 0.3851 0.7829  1 Be 1.43
H29 0.7780 0.1240 0.4804  1 Be 1.41
H30 0.7780 0.3760 0.9804  1 Be 1.41
H31 0.8055 0.6339 0.4891  1 Be 1.40
H32 0.8055 0.8661 0.9891  1 Be 1.40
H33 0.9733 0.6243 0.6603  1 Be 1.42
H34 0.9733 0.8757 0.1603  1 Be 1.42
H35 0.9737 0.1476 0.6528  1 Be 1.42
H36 0.9737 0.3524 0.1528  1 Be 1.42

## Properties
As for the density of states at the Fermi level: 0.000 states/eV per atom. Its space group is P2_1/c (14). The total energy is -3.72 eV per atom. For the offset from the most stable computed form, the calculation gives 0 meV per atom. The calculation puts the density at 0.8 g cm⁻³.



Computed, not measured: a crystal of LiBeH3 relaxed with PBEsol at the SCAN level of DFT.

Lattice parameters (Å, degrees): 5.8488 5.8488 4.6466 103.85 103.85 85.35
With the nearest neighbours (Å) after each atom.
Element x y z (fractional)
Li1 0.0992 0.9008 0.7500  6 H 1.83-1.92
Li2 0.2913 0.7087 0.2500  4 H 1.91-1.95
Li3 0.7087 0.2913 0.7500  4 H 1.91-1.95
Li4 0.9008 0.0992 0.2500  6 H 1.83-1.92
Be1 0.1976 0.3714 0.7602  4 H 1.41-1.48
Be2 0.3714 0.1976 0.2602  4 H 1.41-1.48
Be3 0.6286 0.8024 0.7398  4 H 1.41-1.48
Be4 0.8024 0.6286 0.2398  4 H 1.41-1.48
H1 0.0167 0.2048 0.6603  1 Be 1.41
H2 0.1147 0.6064 0.8423  1 Be 1.41
H3 0.2048 0.0167 0.1603  1 Be 1.41
H4 0.3449 0.3721 0.5410  2 Be 1.48
H5 0.3721 0.3449 0.0410  2 Be 1.48
H6 0.3936 0.8853 0.6577  1 Be 1.41
H7 0.6064 0.1147 0.3423  1 Be 1.41
H8 0.6279 0.6551 0.9590  2 Be 1.48
H9 0.6551 0.6279 0.4590  2 Be 1.48
H10 0.7952 0.9833 0.8397  1 Be 1.41
H11 0.8853 0.3936 0.1577  1 Be 1.41
H12 0.9833 0.7952 0.3397  1 Be 1.41

## Properties
As for the density of states at the Fermi level: 0.000 states/eV per atom. Its space group is C2/c (15). The total energy is -3.71 eV per atom. For the offset from the most stable computed form, the calculation gives 13 meV per atom. The calculation puts the density at 0.8 g cm⁻³.



Computed, not measured: a crystal of MgBe2H relaxed with PBEsol at the SCAN level of DFT.

Lattice parameters (Å, degrees): 3.9941 3.9941 3.9941 60.00 60.00 60.00
With the nearest neighbours (Å) after each atom.
Element x y z (fractional)
Mg1 0.0000 0.0000 0.0000  8 Be 2.45
Be1 0.2500 0.2500 0.2500  4 H 2.45, 4 Mg 2.45
Be2 0.7500 0.7500 0.7500  4 H 2.45, 4 Mg 2.45
H1 0.5000 0.5000 0.5000  8 Be 2.45

## Properties
As for the density of states at the Fermi level: 0.283 states/eV per atom. Its space group is Fm-3m (225). The total energy is -3.18 eV per atom. The calculation puts the density at 1.6 g cm⁻³.



Computed, not measured: a crystal of MgBeH2 relaxed with PBEsol at the SCAN level of DFT.

Lattice parameters (Å, degrees): 3.6696 3.6696 3.6696 60.00 60.00 60.00
With the nearest neighbours (Å) after each atom.
Element x y z (fractional)
Mg1 0.0000 0.0000 0.0000  8 H 2.25
Be1 0.5000 0.5000 0.5000  8 H 2.25
H1 0.2500 0.2500 0.2500  4 Be 2.25, 4 Mg 2.25
H2 0.7500 0.7500 0.7500  4 Be 2.25, 4 Mg 2.25

## Properties
As for the density of states at the Fermi level: 0.194 states/eV per atom. Its space group is Fm-3m (225). The total energy is -3.40 eV per atom. The calculation puts the density at 1.7 g cm⁻³.



Computed, not measured: a crystal of BeMoH3 relaxed with PBEsol at the SCAN level of DFT.

Lattice parameters (Å, degrees): 3.3726 3.3726 3.3726 90.00 90.00 90.00
With the nearest neighbours (Å) after each atom.
Element x y z (fractional)
Be1 0.0000 0.0000 0.0000  12 H 2.38
Mo1 0.5000 0.5000 0.5000  6 H 1.69
H1 0.0000 0.5000 0.5000  2 Mo 1.69
H2 0.5000 0.0000 0.5000  2 Mo 1.69
H3 0.5000 0.5000 0.0000  2 Mo 1.69

## Properties
As for the density of states at the Fermi level: 0.264 states/eV per atom. Its space group is Pm-3m (221). The total energy is -9.43 eV per atom. The calculation puts the density at 4.7 g cm⁻³.



Computed, not measured: a crystal of BeNb2MoH relaxed with PBEsol at the SCAN level of DFT.

Lattice parameters (Å, degrees): 4.1179 4.1179 3.7498 90.00 90.00 90.00
With the nearest neighbours (Å) after each atom.
Element x y z (fractional)
Be1 0.0000 0.0000 0.0000  8 Nb 2.78, 4 Mo 2.91
Nb1 0.0000 0.5000 0.5000  2 H 2.06
Nb2 0.5000 0.0000 0.5000  2 H 2.06
Mo1 0.5000 0.5000 0.0000  2 H 1.87
H1 0.5000 0.5000 0.5000  2 Mo 1.87, 4 Nb 2.06

## Properties
As for the density of states at the Fermi level: 0.552 states/eV per atom. Its space group is P4/mmm (123). The total energy is -21.77 eV per atom. The calculation puts the density at 7.6 g cm⁻³.



Computed, not measured: a crystal of BeHN2 relaxed with PBEsol at the SCAN level of DFT.

Lattice parameters (Å, degrees): 5.3373 5.3373 5.3373 146.19 146.19 48.57
With the nearest neighbours (Å) after each atom.
Element x y z (fractional)
Be1 0.0000 0.0000 0.0000  4 N 1.69
Be2 0.7500 0.2500 0.5000  4 N 1.69
H1 0.2500 0.7500 0.5000  4 N 1.59
H2 0.5000 0.5000 0.0000  4 N 1.59
N1 0.1588 0.6250 0.0338  2 H 1.59, 2 Be 1.69
N2 0.3750 0.4088 0.5338  2 H 1.59, 2 Be 1.69
N3 0.5912 0.1250 0.9662  2 H 1.59, 2 Be 1.69
N4 0.8750 0.8412 0.4662  2 H 1.59, 2 Be 1.69

## Properties
As for the density of states at the Fermi level: 0.179 states/eV per atom. Its space group is I-42d (122). The total energy is -5.75 eV per atom. For the offset from the most stable computed form, the calculation gives 108 meV per atom. The calculation puts the density at 2.7 g cm⁻³.



Computed, not measured: a crystal of BeHN relaxed with PBEsol at the SCAN level of DFT.

Lattice parameters (Å, degrees): 3.0627 3.0627 4.5789 90.00 90.00 90.00
With the nearest neighbours (Å) after each atom.
Element x y z (fractional)
Be1 0.2500 0.7500 0.0000  4 N 1.73
Be2 0.7500 0.2500 0.0000  4 N 1.73
H1 0.2500 0.2500 0.4014  1 N 1.02
H2 0.7500 0.7500 0.5986  1 N 1.02
N1 0.2500 0.2500 0.1779  1 H 1.02
N2 0.7500 0.7500 0.8221  1 H 1.02

## Properties
As for the density of states at the Fermi level: 0.000 states/eV per atom. Its space group is P4/nmm (129). The total energy is -6.62 eV per atom. The calculation puts the density at 1.9 g cm⁻³.